(1)
DFT (GGA-PBE) results for an optimized crystal structure of Cs2Re2Pt.

Structure (POSCAR):
```
Cs2Re2Pt
1.0
-0.0509 -0.9695 -3.3842
1.2079 -3.1839 0.8939
-10.6783 -5.9853 0.0438
Cs Re Pt
2 2 1
direct
0.3995 0.3995 0.2011
0.6005 0.6005 0.7989
0.7500 0.2500 0.5000
0.2500 0.7500 0.5000
0.0000 0.0000 0.0000
```

Total DFT energy (no corrections): -5.5247 eV per atom
Formation energy: 97 kJ/mol of atoms
Volume: 29.71 Å³/atom
DOS at the Fermi energy: 2.9 states/eV/cell
SG: No. 139
Total magnetic moment: 0.00 μB/f.u.

---

(2)
DFT (GGA-PBE) results for an optimized crystal structure of AcPaRh2O8.

Structure (POSCAR):
```
AcPaRh2O8
1.0
-3.7868 2.3353 -3.9949
-1.6926 -0.6529 5.6975
2.4775 6.5631 1.4881
Ac Pa Rh O
1 1 2 8
direct
0.0000 0.0000 0.5000
0.0000 0.0000 0.0000
0.3333 0.6667 0.7126
0.6667 0.3333 0.2874
0.1522 0.3044 0.7924
0.1522 0.8478 0.7924
0.6956 0.8478 0.7924
0.3044 0.1522 0.2076
0.6667 0.3333 0.5390
0.3333 0.6667 0.4610
0.8478 0.6956 0.2076
0.8478 0.1522 0.2076
```

Total DFT energy (no corrections): -7.3236 eV per atom
Volume: 18.50 Å³/atom
DOS at the Fermi energy: 5.1 states/eV/cell
Uncorrected formation energy: -1659 meV/atom
SG: No. 164
Total magnetic moment: 2.00 μB/f.u.

---

(3)
DFT (GGA-PBE) results for an optimized crystal structure of ZnTcSb.

Structure (POSCAR):
```
ZnTcSb
1.0
-0.6775 4.8887 -0.4354
-3.7211 2.3446 2.2811
3.6042 -3.2513 0.9934
Sb Zn Tc
1 1 1
direct
0.9937 0.9937 0.0000
0.6727 0.6727 0.0000
0.3336 0.3336 0.0000
```

Total DFT energy (no corrections): -5.2552 eV per atom
Volume: 16.69 Å³/atom
Energy above the most stable polymorph in this dataset: 0.0000 eV per atom
DOS at the Fermi energy: 0.1 states/eV/cell
Uncorrected formation energy: -1 meV/atom
SG: No. 107
Total magnetic moment: 0.00 μB/f.u.

---

(4)
DFT (GGA-PBE) results for an optimized crystal structure of Se5S12I3.

Structure (POSCAR):
```
Se5S12I3
1.0
14.4599 0.0000 0.0000
-4.8200 13.6329 0.0000
-4.8200 -6.8165 11.8064
I Se S
12 20 48
direct
0.7500 0.3750 0.1250
0.8750 0.7500 0.1250
0.3750 0.7500 0.6250
0.2500 0.1250 0.3750
0.8750 0.1250 0.2500
0.3750 0.6250 0.2500
0.6250 0.3750 0.7500
0.1250 0.8750 0.7500
0.7500 0.8750 0.6250
0.6250 0.2500 0.3750
0.1250 0.2500 0.8750
0.2500 0.6250 0.8750
0.1250 0.3750 0.2500
0.0000 0.5000 0.0000
0.0000 0.0000 0.0000
0.3750 0.2500 0.1250
0.5000 0.0000 0.5000
0.5000 0.5000 0.0000
0.1250 0.7500 0.3750
0.7500 0.1250 0.8750
0.7500 0.6250 0.3750
0.3750 0.1250 0.7500
0.6250 0.8750 0.2500
0.5000 0.5000 0.5000
0.5000 0.0000 0.0000
0.0000 0.0000 0.5000
0.2500 0.3750 0.6250
0.2500 0.8750 0.1250
0.0000 0.5000 0.5000
0.8750 0.2500 0.6250
0.6250 0.7500 0.8750
0.8750 0.6250 0.7500
0.6580 0.1385 0.9854
0.3275 0.4854 0.3469
0.0146 0.3615 0.3420
0.4854 0.1580 0.1385
0.5195 0.6580 0.6725
0.0146 0.6531 0.1725
0.3275 0.8420 0.4805
0.1531 0.9805 0.1385
0.6531 0.0146 0.6725
0.6580 0.5195 0.1725
0.8420 0.5146 0.3615
0.8275 0.8469 0.9854
0.1385 0.6580 0.4854
0.3615 0.3469 0.0195
0.0195 0.8469 0.3615
0.4805 0.1385 0.6531
0.0195 0.1725 0.1580
0.5146 0.6725 0.1531
0.8275 0.9805 0.3420
0.1385 0.4805 0.1531
0.3615 0.0146 0.8420
0.6531 0.6385 0.4805
0.8469 0.8275 0.4854
0.8420 0.3275 0.9805
0.3469 0.3615 0.5195
0.1531 0.1725 0.5146
0.1580 0.6725 0.0195
0.1725 0.0195 0.6580
0.6385 0.9854 0.1580
0.8615 0.5195 0.8469
0.4854 0.3275 0.8469
0.5195 0.8615 0.3469
0.9805 0.8275 0.8420
0.9805 0.1531 0.6385
0.8615 0.3420 0.5146
0.1725 0.1531 0.0146
0.6385 0.6531 0.9805
0.3469 0.9854 0.3275
0.3420 0.4805 0.8275
0.1580 0.4854 0.6385
0.8469 0.0195 0.8615
0.6725 0.1580 0.5195
0.5146 0.8420 0.8615
0.9854 0.3469 0.8275
0.4805 0.3420 0.3275
0.9854 0.6385 0.6580
0.6725 0.5146 0.6531
0.3420 0.8615 0.0146
```

Total DFT energy (no corrections): -2.9844 eV per atom
Volume: 29.09 Å³/atom
DOS at the Fermi energy: 57.9 states/eV/cell
Uncorrected formation energy: 596 meV/atom
SG: No. 230
Total magnetic moment: 0.00 μB/f.u.

---

(5)
DFT (GGA-PBE) results for an optimized crystal structure of SmEr5Bi5.

Structure (POSCAR):
```
SmEr5Bi5
1.0
-4.9671 3.4419 -1.6446
-0.9413 -3.9968 6.4034
4.3473 7.3427 2.2370
Sm Er Bi
1 5 5
direct
0.0000 0.0000 0.0000
0.6606 0.3212 0.3363
0.6649 0.3299 0.8303
0.0000 0.0000 0.5000
0.3351 0.6701 0.1697
0.3394 0.6788 0.6637
0.8279 0.6558 0.1713
0.8312 0.6624 0.6600
0.5000 0.0000 0.0000
0.1688 0.3376 0.3400
0.1721 0.3442 0.8287
```

Total DFT energy (no corrections): -4.8960 eV per atom
Formation energy: -61 kJ/mol of atoms
Volume: 33.07 Å³/atom
DOS at the Fermi energy: 4.1 states/eV/cell
SG: No. 12
Total magnetic moment: 0.00 μB/f.u.

---

(6)
DFT (GGA-PBE) results for an optimized crystal structure of La2MnV.

Structure (POSCAR):
```
La2MnV
1.0
4.9818 0.0439 1.6875
1.3473 2.9463 4.1440
1.2511 -2.2961 4.5641
Mn La V
1 2 1
direct
0.5000 0.5000 0.5000
0.2500 0.2500 0.2500
0.7500 0.7500 0.7500
0.0000 0.0000 0.0000
```

Total DFT energy (no corrections): -6.6149 eV per atom
Formation energy: 41 kJ/mol of atoms
Volume: 25.73 Å³/atom
Energy above the most stable polymorph in this dataset: 0.0000 eV per atom
DOS at the Fermi energy: 3.8 states/eV/cell
SG: No. 225
Total magnetic moment: 6.42 μB/f.u.

---

(7)
DFT (GGA-PBE) results for an optimized crystal structure of Ca2SiAsPd6.

Structure (POSCAR):
```
Ca2SiAsPd6
1.0
6.6148 -0.0004 0.0000
0.0004 6.6148 0.0000
3.3076 3.3072 4.6774
Ca Si As Pd
2 1 1 6
direct
0.2500 0.7500 0.5000
0.7500 0.2500 0.5000
0.5000 0.5000 0.0000
0.0000 0.0000 0.0000
0.2553 0.7447 0.0000
0.7447 0.7447 0.0000
0.2553 0.2553 0.4895
0.7447 0.2553 0.0000
0.2553 0.2553 0.0000
0.7447 0.7447 0.5105
```

Total DFT energy (no corrections): -5.0533 eV per atom
Volume: 20.47 Å³/atom
DOS at the Fermi energy: 4.7 states/eV/cell
Uncorrected formation energy: -530 meV/atom
SG: No. 225
Total magnetic moment: 0.00 μB/f.u.

---

(8)
DFT (GGA-PBE) results for an optimized crystal structure of KSbPtF2.

Structure (POSCAR):
```
KSbPtF2
1.0
4.3257 0.0000 0.0000
0.0000 4.3257 0.0000
0.0000 0.0000 5.9969
Sb K Pt F
1 1 1 2
direct
0.5000 0.5000 0.5000
0.0000 0.0000 0.0000
0.0000 0.0000 0.5000
0.0000 0.5000 0.0000
0.5000 0.0000 0.0000
```

Total DFT energy (no corrections): -3.4319 eV per atom
Volume: 22.44 Å³/atom
DOS at the Fermi energy: 4.0 states/eV/cell
Uncorrected formation energy: -431 meV/atom
SG: No. 123
Total magnetic moment: 0.00 μB/f.u.

---

(9)
DFT (GGA-PBE) results for an optimized crystal structure of Ce2Pd2Pb.

Structure (POSCAR):
```
Ce2Pd2Pb
1.0
7.9588 0.0000 0.0000
0.0000 7.9588 0.0000
0.0000 0.0000 3.7597
Ce Pd Pb
4 4 2
direct
0.6755 0.1755 0.5000
0.1755 0.3245 0.5000
0.8245 0.6755 0.5000
0.3245 0.8245 0.5000
0.3742 0.1258 0.0000
0.1258 0.6258 0.0000
0.6258 0.8742 0.0000
0.8742 0.3742 0.0000
0.0000 0.0000 0.0000
0.5000 0.5000 0.0000
```

Total DFT energy (no corrections): -5.9232 eV per atom
Formation energy: -71 kJ/mol of atoms
Volume: 23.82 Å³/atom
DOS at the Fermi energy: 22.0 states/eV/cell
SG: No. 127
Total magnetic moment: 1.13 μB/f.u.

---

(10)
DFT (GGA-PBE) results for an optimized crystal structure of La8Cd2Ga.

Structure (POSCAR):
```
La8Cd2Ga
1.0
5.2691 0.0000 -1.7014
-1.3769 7.7788 -4.2641
-0.0217 -0.1730 8.9424
Cd Ga La
2 1 8
direct
0.2283 0.6103 0.4566
0.7717 0.3897 0.5434
0.5000 0.0000 0.0000
0.5886 0.4351 0.1773
0.3217 0.0435 0.6433
0.1316 0.1814 0.2632
0.0729 0.7198 0.1458
0.8684 0.8186 0.7368
0.6783 0.9565 0.3567
0.4114 0.5649 0.8227
0.9271 0.2802 0.8542
```

Total DFT energy (no corrections): -4.2249 eV per atom
Formation energy: -19 kJ/mol of atoms
Volume: 32.90 Å³/atom
DOS at the Fermi energy: 11.9 states/eV/cell
SG: No. 12
Total magnetic moment: 0.00 μB/f.u.

---

(11)
DFT (GGA-PBE) results for an optimized crystal structure of PuGa2Cu4Si.

Structure (POSCAR):
```
PuGa2Cu4Si
1.0
4.1329 0.0000 0.0000
2.0664 3.5792 0.0000
2.0664 1.1931 8.6545
Pu Ga Cu Si
1 2 4 1
direct
0.0000 0.0000 0.0000
0.7448 0.7448 0.7655
0.2552 0.2552 0.2345
0.4098 0.4098 0.7706
0.8668 0.8668 0.3997
0.1332 0.1332 0.6003
0.5902 0.5902 0.2294
0.5000 0.5000 0.5000
```

Total DFT energy (no corrections): -5.3427 eV per atom
Volume: 16.00 Å³/atom
DOS at the Fermi energy: 12.6 states/eV/cell
Uncorrected formation energy: -69 meV/atom
SG: No. 166
Total magnetic moment: 5.54 μB/f.u.

---

(12)
DFT (GGA-PBE) results for an optimized crystal structure of Rb2HI6Br.

Structure (POSCAR):
```
Rb2HI6Br
1.0
-5.7747 -4.5528 -4.8169
-4.6330 -1.7959 7.2517
-8.2475 1.5148 0.4342
I H Br Rb
6 1 1 2
direct
0.3301 0.3301 0.3398
0.6699 0.6699 0.6602
0.2281 0.2281 0.0000
0.7719 0.7719 0.0000
0.7719 0.2281 0.0000
0.2281 0.7719 0.0000
0.5000 0.5000 0.0000
0.0000 0.0000 0.0000
0.7500 0.2500 0.5000
0.2500 0.7500 0.5000
```

Total DFT energy (no corrections): -2.1107 eV per atom
Volume: 43.62 Å³/atom
DOS at the Fermi energy: 0.0 states/eV/cell
SG: No. 139
Total magnetic moment: 0.00 μB/f.u.